Tb2Pr7Ho (PBE, relaxed); space group = Cmmm, No. 65; ΔE to the lowest computed polymorph = 259 meV/atom; crystal system = orthorhombic
1.0
-2.7329 0.8108 4.8884
-8.0580 -2.9212 -4.0205
6.1092 -5.7619 4.3711
Tb Pr Ho
2 7 1
Direct
0.5000 0.7052 0.2948
0.5000 0.2948 0.7052
0.5000 0.7078 0.9326
0.0000 0.7808 0.2192
0.5000 0.2922 0.0674
0.5000 0.5000 0.5000
0.5000 0.9326 0.7078
0.0000 0.2192 0.7808
0.5000 0.0674 0.2922
0.0000 0.0000 0.0000


MnCu2Ir (PBE, relaxed); space group = P4mm, No. 99; crystal system = tetragonal
1.0
-0.0978 -1.6177 2.1383
-0.9236 -1.9884 -1.5465
6.5894 -2.0746 -1.2679
Cu Mn Ir
2 1 1
Direct
0.0000 0.0000 0.9998
0.5000 0.5000 0.2397
0.5000 0.5000 0.7487
0.0000 0.0000 0.5124


Number 1: DOS(E_F) 15.4 states/eV per cell, total magnetization 0.0 μB per formula unit, energy of formation 624.3 meV per atom. Number 2: DOS(E_F) 2.6 states/eV per cell, total magnetization 1.5 μB per formula unit, energy of formation 50.4 meV per atom.